Record 1
## FeRhCl (GGA-PBE)

Data for a relaxed structure of FeRhCl.

It has space group P3m1 (No. 156), with a = 3.1543 Å, b = 3.1543 Å, c = 5.8093 Å, α = 90.00°, β = 90.00° and γ = 120.00°. The inequivalent atoms are Fe at (0.0000, 0.0000, 0.0000), Rh at (0.6667, 0.3333, 0.2814) and Cl at (0.3333, 0.6667, 0.7018).

The calculation puts the energy relative to the lowest polymorph listed for this composition at 0 meV per atom. The calculation puts the uncorrected formation energy at 0.11 eV/atom. The total DFT energy (no corrections) is -5.7817 eV per atom.

Record 2
## FeRhCl (GGA-PBE)

Data for a relaxed structure of FeRhCl.

It has space group Fmm2 (No. 42), with a = 3.3207 Å, b = 5.0057 Å, c = 11.8322 Å, α = 90.00°, β = 90.00° and γ = 90.00°. The inequivalent atoms are Fe at (0.0000, 0.0000, 0.0000), Rh at (0.0000, 0.0000, 0.3545) and Cl at (0.0000, 0.0000, 0.6529).

The calculation puts the energy relative to the lowest polymorph listed for this composition at 114 meV per atom. The calculation puts the uncorrected formation energy at 0.22 eV/atom. The total DFT energy (no corrections) is -5.6675 eV per atom.

Record 3
## Fe2RhCl (GGA-PBE)

Data for a relaxed structure of Fe2RhCl.

It has space group P4mm (No. 99), with a = 2.9795 Å, b = 2.9795 Å, c = 6.7314 Å, α = 90.00°, β = 90.00° and γ = 90.00°. The inequivalent atoms are Fe at (0.0000, 0.0000, 0.0000), Fe at (0.5000, 0.5000, 0.2211), Rh at (0.0000, 0.0000, 0.4247) and Cl at (0.5000, 0.5000, 0.7644).

The calculation puts the energy relative to the lowest polymorph listed for this composition at 86 meV per atom. The calculation puts the uncorrected formation energy at 0.18 eV/atom. The total DFT energy (no corrections) is -6.3461 eV per atom.

Record 4
## Fe2RhCl (GGA-PBE)

Data for a relaxed structure of Fe2RhCl.

It has space group P4/mmm (No. 123), with a = 2.8997 Å, b = 2.8997 Å, c = 7.0297 Å, α = 90.00°, β = 90.00° and γ = 90.00°. The inequivalent atoms are Fe at (0.0000, 0.0000, 0.2333), Rh at (0.5000, 0.5000, 0.0000) and Cl at (0.5000, 0.5000, 0.5000).

The calculation puts the energy relative to the lowest polymorph listed for this composition at 90 meV per atom. The calculation puts the uncorrected formation energy at 0.19 eV/atom. The total DFT energy (no corrections) is -6.3424 eV per atom.

Record 5
## Fe2RhCl (GGA-PBE)

Data for a relaxed structure of Fe2RhCl.

It has space group P4/mmm (No. 123), with a = 4.5405 Å, b = 4.5405 Å, c = 2.8247 Å, α = 90.00°, β = 90.00° and γ = 90.00°. The inequivalent atoms are Fe at (0.0000, 0.5000, 0.0000), Rh at (0.0000, 0.0000, 0.5000) and Cl at (0.5000, 0.5000, 0.5000).

The calculation puts the energy relative to the lowest polymorph listed for this composition at 339 meV per atom. The calculation puts the uncorrected formation energy at 0.44 eV/atom. The total DFT energy (no corrections) is -6.0928 eV per atom.

Record 6
## Fe2RhCl (GGA-PBE)

Data for a relaxed structure of Fe2RhCl.

It has space group Pmm2 (No. 25), with a = 2.9851 Å, b = 3.0474 Å, c = 6.9148 Å, α = 90.00°, β = 90.00° and γ = 90.00°. The inequivalent atoms are Fe at (0.0000, 0.0000, 0.0000), Fe at (0.5000, 0.5000, 0.2044), Rh at (0.5000, 0.5000, 0.8033) and Cl at (0.0000, 0.5000, 0.4709).

The calculation puts the energy relative to the lowest polymorph listed for this composition at 3 meV per atom. The calculation puts the uncorrected formation energy at 0.10 eV/atom. The total DFT energy (no corrections) is -6.4289 eV per atom.

Record 7
## FeRhCl5 (GGA-PBE)

Data for a relaxed structure of FeRhCl5.

It has space group C2/c (No. 15), with a = 9.3552 Å, b = 8.7290 Å, c = 9.3147 Å, α = 90.00°, β = 115.76° and γ = 90.00°. The inequivalent atoms are Fe at (0.0000, 0.0741, 0.2500), Rh at (0.2500, 0.2500, 0.0000), Cl at (0.0000, 0.2217, 0.7500), Cl at (0.1015, 0.2636, 0.1503) and Cl at (0.2273, 0.0193, 0.4857).

The calculation puts the uncorrected formation energy at -0.58 eV/atom. The total DFT energy (no corrections) is -4.1628 eV per atom.

Record 8
## FeRhCl2 (GGA-PBE)

Data for a relaxed structure of FeRhCl2.

It has space group Pmmm (No. 47), with a = 3.0115 Å, b = 3.9541 Å, c = 5.6717 Å, α = 90.00°, β = 90.00° and γ = 90.00°. The inequivalent atoms are Fe at (0.0000, 0.0000, 0.0000), Rh at (0.5000, 0.0000, 0.5000), Cl at (0.0000, 0.5000, 0.5000) and Cl at (0.5000, 0.5000, 0.0000).

The calculation puts the energy relative to the lowest polymorph listed for this composition at 488 meV per atom. The calculation puts the uncorrected formation energy at 0.28 eV/atom. The total DFT energy (no corrections) is -4.5978 eV per atom.

Record 9
## FeRhCl2 (GGA-PBE)

Data for a relaxed structure of FeRhCl2.

It has space group R3m (No. 160, hexagonal axes), with a = 3.4035 Å, b = 3.4035 Å, c = 24.2255 Å, α = 90.00°, β = 90.00° and γ = 120.00°. The inequivalent atoms are Fe at (0.0000, 0.0000, 0.0000), Rh at (0.0000, 0.0000, 0.2743), Cl at (0.0000, 0.0000, 0.5440) and Cl at (0.0000, 0.0000, 0.7300).

The calculation puts the energy relative to the lowest polymorph listed for this composition at 0 meV per atom. The calculation puts the uncorrected formation energy at -0.21 eV/atom. The total DFT energy (no corrections) is -5.0853 eV per atom.

Record 10
## FeRhCl2 (GGA-PBE)

Data for a relaxed structure of FeRhCl2.

It has space group Cmmm (No. 65), with a = 3.0107 Å, b = 5.7704 Å, c = 7.8821 Å, α = 90.00°, β = 90.00° and γ = 90.00°. The inequivalent atoms are Fe at (0.0000, 0.0000, 0.0000), Rh at (0.0000, 0.0000, 0.5000) and Cl at (0.0000, 0.5000, 0.2344).

The calculation puts the energy relative to the lowest polymorph listed for this composition at 492 meV per atom. The calculation puts the uncorrected formation energy at 0.28 eV/atom. The total DFT energy (no corrections) is -4.5929 eV per atom.

Record 11
## Fe2RhCl (GGA-PBE)

Data for a relaxed structure of Fe2RhCl.

It has space group R-3m (No. 166, hexagonal axes), with a = 2.9061 Å, b = 2.9061 Å, c = 23.6914 Å, α = 90.00°, β = 90.00° and γ = 120.00°. The inequivalent atoms are Fe at (0.0000, 0.0000, 0.2490), Rh at (0.0000, 0.0000, 0.0000) and Cl at (0.0000, 0.0000, 0.5000).

The calculation puts the energy relative to the lowest polymorph listed for this composition at 109 meV per atom. The calculation puts the uncorrected formation energy at 0.21 eV/atom. The total DFT energy (no corrections) is -6.3233 eV per atom.

Record 12
## FeRhCl2 (GGA-PBE)

Data for a relaxed structure of FeRhCl2.

It has space group P4/mmm (No. 123), with a = 3.0484 Å, b = 3.0484 Å, c = 6.9489 Å, α = 90.00°, β = 90.00° and γ = 90.00°. The inequivalent atoms are Fe at (0.0000, 0.0000, 0.0000), Rh at (0.0000, 0.0000, 0.5000) and Cl at (0.5000, 0.5000, 0.2210).

The calculation puts the energy relative to the lowest polymorph listed for this composition at 640 meV per atom. The calculation puts the uncorrected formation energy at 0.43 eV/atom. The total DFT energy (no corrections) is -4.4458 eV per atom.

Record 13
## Fe2RhCl (GGA-PBE)

Data for a relaxed structure of Fe2RhCl.

It has space group I-4m2 (No. 119), with a = 3.7146 Å, b = 3.7146 Å, c = 8.4420 Å, α = 90.00°, β = 90.00° and γ = 90.00°. The inequivalent atoms are Fe at (0.0000, 0.0000, 0.0000), Fe at (0.0000, 0.5000, 0.2500), Rh at (0.0000, 0.5000, 0.7500) and Cl at (0.0000, 0.0000, 0.5000).

The calculation puts the energy relative to the lowest polymorph listed for this composition at 486 meV per atom. The calculation puts the uncorrected formation energy at 0.59 eV/atom. The total DFT energy (no corrections) is -5.9458 eV per atom.

Record 14
## FeRhCl2 (GGA-PBE)

Data for a relaxed structure of FeRhCl2.

It has space group R-3m (No. 166, hexagonal axes), with a = 3.2285 Å, b = 3.2285 Å, c = 21.5256 Å, α = 90.00°, β = 90.00° and γ = 120.00°. The inequivalent atoms are Fe at (0.0000, 0.0000, 0.0000), Rh at (0.0000, 0.0000, 0.5000) and Cl at (0.0000, 0.0000, 0.3935).

The calculation puts the energy relative to the lowest polymorph listed for this composition at 435 meV per atom. The calculation puts the uncorrected formation energy at 0.23 eV/atom. The total DFT energy (no corrections) is -4.6503 eV per atom.

Record 15
## Fe2RhCl (GGA-PBE)

Data for a relaxed structure of Fe2RhCl.

It has space group Immm (No. 71), with a = 2.8817 Å, b = 4.3795 Å, c = 8.6889 Å, α = 90.00°, β = 90.00° and γ = 90.00°. The inequivalent atoms are Fe at (0.0000, 0.0000, 0.2340), Rh at (0.0000, 0.5000, 0.0000) and Cl at (0.0000, 0.5000, 0.5000).

The calculation puts the energy relative to the lowest polymorph listed for this composition at 366 meV per atom. The calculation puts the uncorrected formation energy at 0.46 eV/atom. The total DFT energy (no corrections) is -6.0664 eV per atom.